A relaxed structure of ZnNiIr2, computed with GGA-PBEsol.

Properties
- SG: Pmm2
- ΔE_f: -45 meV per atom

Unit cell a=2.6872 b=3.7277 c=5.2151 alpha=90.00 beta=90.00 gamma=90.00
With the nearest neighbours (Å) after each atom.
Positions (direct):
Zn (0.0000, 0.0000, 0.0000)  6 Ir 2.53-2.70, 4 Ni 2.60, 2 Zn 2.69
Ni (0.5000, 0.5000, 0.7661)  6 Ir 2.58-2.65, 4 Zn 2.60, 2 Ni 2.69
Ir (0.0000, 0.0000, 0.5144)  2 Zn 2.53-2.68, 6 Ir 2.62-2.69, 4 Ni 2.65
Ir (0.5000, 0.5000, 0.2717)  2 Ni 2.58-2.64, 6 Ir 2.62-2.69, 4 Zn 2.70


A relaxed structure of ZrTi2Co2, computed with GGA-PBEsol.

Properties
- SG: I4/mmm
- ΔE_f: -269 meV per atom

Unit cell a=5.5161 b=5.5161 c=5.5161 alpha=137.34 beta=137.34 gamma=61.91
With the nearest neighbours (Å) after each atom.
Positions (direct):
Zr (0.0000, 0.0000, 0.0000)  8 Co 3.04, 8 Ti 3.10
Ti (0.2500, 0.7500, 0.5000)  4 Co 2.38
Ti (0.7500, 0.2500, 0.5000)  4 Co 2.38
Co (0.3854, 0.3854, 0.0000)  1 Co 2.17, 4 Ti 2.38
Co (0.6146, 0.6146, 0.0000)  1 Co 2.17, 4 Ti 2.38


A relaxed structure of Ca2Y2Ta, computed with GGA-PBEsol.

Properties
- SG: I4/mmm
- ΔE_f: 1103 meV per atom

Unit cell a=9.4315 b=9.4315 c=9.4315 alpha=154.20 beta=154.20 gamma=36.81
With the nearest neighbours (Å) after each atom.
Positions (direct):
Ca (0.0881, 0.0881, 0.0000)  1 Ca 3.15, 4 Ta 3.37
Ca (0.9119, 0.9119, 0.0000)  1 Ca 3.15, 4 Ta 3.37
Y (0.2500, 0.7500, 0.5000)  4 Y 2.98
Y (0.7500, 0.2500, 0.5000)  4 Y 2.98
Ta (0.5000, 0.5000, 0.0000)  8 Ca 3.37


Number 1: magnetic moment 0.00 μB/atom. Number 2: magnetic moment 0.00 μB/atom. Number 3: magnetic moment 0.59 μB/atom.